Below is a relaxed structure of CrSiBrO2, with properties calculated at the PBE+U level.

Results
The uncorrected energy comes out at -20.42 eV/cell. The total magnetization is 4.082 μB per cell.

Cell: 3.9573 3.9573 5.2343 Å, 90.00 90.00 90.00°
Space group P4/mmm (No. 123)
One atom of each set of equivalent atoms:
Cr (0.0000, 0.0000, 0.0000)
Si (0.5000, 0.5000, 0.0000)
Br (0.0000, 0.0000, 0.5000)
O (0.0000, 0.5000, 0.5000)